Density functional theory data (PBE) for an optimized crystal structure of PrTl3Ge2Te6.

Unit cell a=7.8319 b=7.8319 c=7.9916 alpha=99.92 beta=99.92 gamma=120.84
Closest atoms and distances in Å follow each position.
Sites, in units of the cell vectors:
Pr 0.0000 0.0000 0.0000  6 Te 3.19
Tl 0.1527 0.8473 0.5000  6 Te 3.31-3.44
Tl 0.5000 0.5000 0.5000  6 Te 3.30-3.37
Tl 0.8473 0.1527 0.5000  6 Te 3.31-3.44
Ge 0.3225 0.6775 0.0000  6 Te 2.92-3.08
Ge 0.6775 0.3225 0.0000  6 Te 2.92-3.08
Te 0.0763 0.4264 0.2219  2 Ge 2.92-3.04, 1 Pr 3.19
Te 0.2836 0.2836 0.7907  2 Ge 3.08, 1 Pr 3.19, 3 Tl 3.30-3.31
Te 0.4264 0.0763 0.2219  2 Ge 2.92-3.04, 1 Pr 3.19
Te 0.5736 0.9237 0.7781  2 Ge 2.92-3.04, 1 Pr 3.19
Te 0.7164 0.7164 0.2093  2 Ge 3.08, 1 Pr 3.19, 3 Tl 3.30-3.31
Te 0.9237 0.5736 0.7781  2 Ge 2.92-3.04, 1 Pr 3.19

---

Density functional theory data (PBE) for an optimized crystal structure of PrTl2GeTe4.

Unit cell a=7.9098 b=4.5015 c=8.1375 alpha=90.00 beta=109.05 gamma=90.00
Closest atoms and distances in Å follow each position.
Sites, in units of the cell vectors:
Pr 0.0000 0.0000 0.0000  6 Te 3.16-3.19
Tl 0.0000 0.5000 0.5000  6 Te 3.43-3.50
Tl 0.5000 0.0000 0.5000  6 Te 3.33-3.36
Ge 0.5000 0.5000 0.0000  6 Te 3.04-3.06
Te 0.2553 0.5000 0.2212  1 Ge 3.04, 2 Pr 3.16, 2 Tl 3.33
Te 0.2722 0.0000 0.7841  2 Ge 3.06, 1 Pr 3.19, 1 Tl 3.36
Te 0.7278 0.0000 0.2159  2 Ge 3.06, 1 Pr 3.19, 1 Tl 3.36
Te 0.7447 0.5000 0.7788  1 Ge 3.04, 2 Pr 3.16, 2 Tl 3.33

---

Ordered formation energy (no corrections) results: -0.397, -0.558; unit eV per atom.
Ordered density of states at the Fermi level results: 11.15, 5.46; unit states/eV/f.u..